1.
Cd2GeMoAs4 | OQMD via LeMat-Bulk | GGA-PBE | optimized geometry; space-group type = No. 82; DFT total energy = -35.31 eV for the cell shown
1.0
-3.0232 3.0232 5.7796
3.0232 -3.0232 5.7796
3.0232 3.0232 -5.7796
As Cd Ge Mo
4 2 1 1
Cartesian
1.7131 -1.5465 4.3754
1.3101 4.5696 -1.4042
1.4767 1.3101 1.4042
1.5465 1.7131 7.1838
0.0000 3.0232 2.8898
0.0000 0.0000 5.7796
3.0232 0.0000 2.8898
0.0000 0.0000 0.0000


2.
Lu4CdNiN2 | OQMD via LeMat-Bulk | GGA-PBE | optimized geometry; space-group type = No. 187; DFT total energy = -48.86 eV for the cell shown
1.0
3.3786 0.0000 0.0000
-1.6893 2.9260 0.0000
0.0000 0.0000 14.5264
Lu Cd N Ni
4 1 2 1
Cartesian
0.0000 0.0000 5.3369
1.6893 0.9753 2.6286
0.0000 0.0000 9.1895
1.6893 0.9753 11.8977
0.0000 0.0000 0.0000
0.0000 1.9507 10.7052
0.0000 1.9507 3.8212
1.6893 0.9753 7.2632


3.
RbZrTl | OQMD via LeMat-Bulk | GGA-PBE | optimized geometry; space-group type = No. 216; E above lowest polymorph = 507 meV per atom
1.0
0.0000 3.7469 3.7469
3.7469 0.0000 3.7469
3.7469 3.7469 0.0000
Tl Rb Zr
1 1 1
Cartesian
1.8735 1.8735 1.8735
0.0000 0.0000 0.0000
5.6204 5.6204 5.6204


Which formula does entry 2 have? Lu4CdNiN2